Material: NiBiTe
Method: DFT, PBE-GGA
State: relaxed

## Properties
The spin magnetization is 0.0000 μB per atom. The calculation puts the total energy at -13.292 eV for the cell shown. The formation energy (no corrections) comes out at -0.49 eV per formula unit. Its crystal system is trigonal. The value obtained for the volume is 24.5 A^3/atom.

a = 5.430 Å, b = 3.951 Å, c = 3.951 Å
α = 120.00°, β = 90.00°, γ = 90.00°
Element x y z (fractional)
Ni 0.018 0.000 0.000
Te 0.229 0.333 0.667
Bi 0.753 0.667 0.333

Material: NiBiTe2
Method: DFT, PBE-GGA
State: relaxed

## Properties
The spin magnetization is 0.0000 μB per atom. The calculation puts the total energy at -16.234 eV for the cell shown. The formation energy (no corrections) comes out at -0.29 eV per formula unit. Its crystal system is trigonal. The value obtained for the volume is 25.2 A^3/atom.

a = 3.903 Å, b = 3.903 Å, c = 7.979 Å
α = 75.85°, β = 75.85°, γ = 60.00°
Element x y z (fractional)
Ni 0.665 0.665 0.004
Bi 0.497 0.497 0.508
Te 0.061 0.061 0.817
Te 0.276 0.276 0.172

Material: NiBiTe
Method: DFT, PBE-GGA
State: relaxed

## Properties
The spin magnetization is 0.0000 μB per atom. The calculation puts the total energy at -25.508 eV for the cell shown. The formation energy (no corrections) comes out at 0.05 eV per formula unit. Its crystal system is monoclinic. The value obtained for the volume is 25.9 A^3/atom.

a = 8.384 Å, b = 3.245 Å, c = 6.924 Å
α = 103.55°, β = 120.84°, γ = 90.00°
Element x y z (fractional)
Ni 0.261 0.368 0.735
Ni 0.739 0.632 0.265
Bi 0.097 0.681 0.362
Bi 0.903 0.319 0.638
Te 0.600 0.415 0.830
Te 0.400 0.585 0.170

Material: Tl2NiBiTe
Method: DFT, PBE-GGA
State: relaxed

## Properties
The spin magnetization is 0.0000 μB per atom. The calculation puts the total energy at -17.526 eV for the cell shown. The formation energy (no corrections) comes out at 0.01 eV per formula unit. Its crystal system is tetragonal. The value obtained for the volume is 28.0 A^3/atom.

a = 5.147 Å, b = 5.147 Å, c = 5.283 Å
α = 90.00°, β = 90.00°, γ = 90.00°
Element x y z (fractional)
Ni 0.000 0.000 0.000
Tl 0.000 0.500 0.000
Tl 0.500 0.000 0.000
Te 0.500 0.500 0.500
Bi 0.000 0.000 0.500

Material: Th3NiBi
Method: DFT, PBE-GGA
State: relaxed

## Properties
The spin magnetization is 0.0000 μB per atom. The calculation puts the total energy at -66.514 eV for the cell shown. The formation energy is -0.2671 eV per atom. Its crystal system is orthorhombic. The value obtained for the volume is 28.9 A^3/atom.

a = 4.926 Å, b = 7.767 Å, c = 8.502 Å
α = 117.18°, β = 90.00°, γ = 90.00°
Element x y z (fractional)
Th 0.500 0.307 0.000
Th 0.000 0.872 0.743
Th 0.500 0.693 0.000
Th 0.500 0.500 0.500
Th 0.000 0.128 0.257
Th 0.500 0.000 0.500
Ni 0.500 0.085 0.171
Ni 0.500 0.915 0.829
Bi 0.000 0.641 0.282
Bi 0.000 0.359 0.718

Material: Th4NiBi3
Method: DFT, PBE-GGA
State: relaxed

## Properties
The spin magnetization is 0.0000 μB per atom. The calculation puts the total energy at -101.908 eV for the cell shown. The formation energy is -0.4813 eV per atom. Its crystal system is monoclinic. The value obtained for the volume is 32.1 A^3/atom.

a = 7.586 Å, b = 7.941 Å, c = 9.037 Å
α = 90.00°, β = 90.00°, γ = 109.33°
Element x y z (fractional)
Ni 0.750 0.000 0.877
Ni 0.250 0.000 0.123
Bi 0.750 0.000 0.377
Bi 0.250 0.000 0.623
Bi 0.750 0.500 0.618
Bi 0.750 0.500 0.123
Bi 0.250 0.500 0.382
Bi 0.250 0.500 0.877
Th 0.977 0.231 0.649
Th 0.510 0.206 0.894
Th 0.477 0.231 0.351
Th 0.010 0.206 0.106
Th 0.990 0.794 0.894
Th 0.523 0.769 0.649
Th 0.490 0.794 0.106
Th 0.023 0.769 0.351